Model P:
ErMgTe3Au: relaxed, PBE.

abc: 7.8404 7.8404 11.1112
angles: 90.00 90.00 149.08
Element x y z (fractional)
Er1 0.0000 0.0000 0.0000
Er2 0.0000 0.0000 0.5000
Mg1 0.1488 0.8512 0.7500
Mg2 0.8512 0.1488 0.2500
Te1 0.0974 0.9026 0.2500
Te2 0.3523 0.6477 0.0583
Te3 0.3523 0.6477 0.4417
Te4 0.6477 0.3523 0.5583
Te5 0.6477 0.3523 0.9417
Te6 0.9026 0.0974 0.7500
Au1 0.4790 0.5210 0.2500
Au2 0.5210 0.4790 0.7500

Model Q:
ErMgTe3Au: relaxed, PBE.

abc: 13.4276 4.1202 12.3445
angles: 90.00 90.00 90.00
Element x y z (fractional)
Er1 0.0627 0.2500 0.1826
Er2 0.4373 0.7500 0.6826
Er3 0.5627 0.2500 0.3174
Er4 0.9373 0.7500 0.8174
Mg1 0.2114 0.2500 0.4700
Mg2 0.2886 0.7500 0.9700
Mg3 0.7114 0.2500 0.0300
Mg4 0.7886 0.7500 0.5300
Te1 0.0495 0.7500 0.3660
Te2 0.0804 0.2500 0.9221
Te3 0.2157 0.7500 0.6442
Te4 0.2843 0.2500 0.1442
Te5 0.4196 0.7500 0.4221
Te6 0.4505 0.2500 0.8660
Te7 0.5495 0.7500 0.1340
Te8 0.5804 0.2500 0.5779
Te9 0.7157 0.7500 0.8558
Te10 0.7843 0.2500 0.3558
Te11 0.9196 0.7500 0.0779
Te12 0.9505 0.2500 0.6340
Au1 0.2454 0.7500 0.3144
Au2 0.2546 0.2500 0.8144
Au3 0.7454 0.7500 0.1856
Au4 0.7546 0.2500 0.6856

Which one sits at the top of the stability order? model P does.

Model P:
ErAuNO: relaxed, PBE.

abc: 4.8865 4.8865 4.4891
angles: 90.00 90.00 90.00
Element x y z (fractional)
Er1 0.2500 0.7500 0.0000
Er2 0.7500 0.2500 0.0000
Au1 0.2500 0.2500 0.4950
Au2 0.7500 0.7500 0.5050
N1 0.2500 0.2500 0.9948
N2 0.7500 0.7500 0.0052
O1 0.2500 0.7500 0.5000
O2 0.7500 0.2500 0.5000

Model Q:
ErAuNO: relaxed, PBE.

abc: 3.9096 3.9096 7.4370
angles: 90.00 90.00 90.00
Element x y z (fractional)
Er1 0.2500 0.2500 0.1412
Er2 0.7500 0.7500 0.8588
Au1 0.2500 0.7500 0.5000
Au2 0.7500 0.2500 0.5000
N1 0.2500 0.2500 0.6896
N2 0.7500 0.7500 0.3104
O1 0.2500 0.7500 0.0000
O2 0.7500 0.2500 0.0000

Model R:
ErAuNO: relaxed, PBE.

abc: 4.0234 7.1753 5.1925
angles: 90.00 90.00 90.00
Element x y z (fractional)
Er1 0.0000 0.1576 0.0000
Er2 0.0000 0.8424 0.5000
Au1 0.5000 0.4714 0.6067
Au2 0.5000 0.5286 0.1067
N1 0.5000 0.2874 0.8935
N2 0.5000 0.7126 0.3935
O1 0.0000 0.1198 0.4004
O2 0.0000 0.8802 0.9004

Model S:
ErAuNO: relaxed, PBE.

abc: 4.7604 4.7604 4.5962
angles: 90.00 90.00 90.00
Element x y z (fractional)
Er1 0.2500 0.7500 0.0000
Er2 0.7500 0.2500 0.0000
Au1 0.2500 0.2500 0.4945
Au2 0.7500 0.7500 0.5055
N1 0.2500 0.2500 0.9950
N2 0.7500 0.7500 0.0050
O1 0.2500 0.7500 0.5000
O2 0.7500 0.2500 0.5000

Which one sits at the top of the stability order? model R does.

Model P:
ErPAuO: relaxed, PBE.

abc: 4.3072 5.9824 5.5448
angles: 90.00 90.00 90.00
Element x y z (fractional)
Er1 0.0000 0.2397 0.0000
Er2 0.0000 0.7603 0.5000
P1 0.5000 0.0390 0.7206
P2 0.5000 0.9610 0.2206
Au1 0.5000 0.3541 0.4114
Au2 0.5000 0.6459 0.9114
O1 0.0000 0.4560 0.3091
O2 0.0000 0.5440 0.8091

Model Q:
ErPAuO: relaxed, PBE.

abc: 4.0006 4.0006 8.3862
angles: 90.00 90.00 90.00
Element x y z (fractional)
Er1 0.2500 0.2500 0.1229
Er2 0.7500 0.7500 0.8771
P1 0.2500 0.2500 0.6934
P2 0.7500 0.7500 0.3066
Au1 0.2500 0.7500 0.5000
Au2 0.7500 0.2500 0.5000
O1 0.2500 0.7500 0.0000
O2 0.7500 0.2500 0.0000

Model R:
ErPAuO: relaxed, PBE.

abc: 5.4442 5.4442 4.6461
angles: 90.00 90.00 90.00
Element x y z (fractional)
Er1 0.2500 0.7500 0.0000
Er2 0.7500 0.2500 0.0000
P1 0.2500 0.2500 0.0010
P2 0.7500 0.7500 0.9990
Au1 0.2500 0.2500 0.5009
Au2 0.7500 0.7500 0.4991
O1 0.2500 0.7500 0.5000
O2 0.7500 0.2500 0.5000

Which one sits at the top of the stability order? model Q does.

Model P:
ErAuSO: relaxed, PBE.

abc: 9.2863 5.3510 5.5423
angles: 90.00 90.00 90.00
Element x y z (fractional)
Er1 0.1192 0.0060 0.2500
Er2 0.1192 0.4940 0.7500
Er3 0.8808 0.5060 0.2500
Er4 0.8808 0.9940 0.7500
Au1 0.4402 0.2500 0.0000
Au2 0.4402 0.2500 0.5000
Au3 0.5598 0.7500 0.0000
Au4 0.5598 0.7500 0.5000
S1 0.2803 0.5245 0.2500
S2 0.2803 0.9755 0.7500
S3 0.7197 0.0245 0.2500
S4 0.7197 0.4755 0.7500
O1 0.0025 0.7500 0.0000
O2 0.0025 0.7500 0.5000
O3 0.9975 0.2500 0.0000
O4 0.9975 0.2500 0.5000

Model Q:
ErAuSO: relaxed, PBE.

abc: 5.5955 5.5878 10.6656
angles: 90.00 91.71 90.00
Element x y z (fractional)
Er1 0.0050 0.0000 0.0979
Er2 0.4950 0.0006 0.9018
Er3 0.5050 0.5006 0.0982
Er4 0.9950 0.5000 0.9021
Au1 0.0021 0.0203 0.7217
Au2 0.3159 0.2737 0.5030
Au3 0.6841 0.7737 0.4970
Au4 0.9979 0.5203 0.2783
S1 0.2945 0.2294 0.2871
S2 0.3005 0.3116 0.7188
S3 0.6995 0.8116 0.2812
S4 0.7055 0.7294 0.7129
O1 0.2487 0.2493 0.0014
O2 0.2516 0.7495 0.9997
O3 0.7484 0.2495 0.0003
O4 0.7513 0.7493 0.9986

Which one sits at the top of the stability order? model Q does.

Model P:
ErAuSO: relaxed, PBE.

abc: 3.8671 3.8671 9.1009
angles: 90.00 90.00 90.00
Element x y z (fractional)
Er1 0.2500 0.2500 0.1214
Er2 0.7500 0.7500 0.8786
Au1 0.2500 0.7500 0.5000
Au2 0.7500 0.2500 0.5000
S1 0.2500 0.2500 0.7179
S2 0.7500 0.7500 0.2821
O1 0.2500 0.7500 0.0000
O2 0.7500 0.2500 0.0000

Model Q:
ErAuSO: relaxed, PBE.

abc: 5.5450 5.5613 9.0470
angles: 90.00 90.00 90.00
Element x y z (fractional)
Er1 0.0000 0.0000 0.0000
Er2 0.0000 0.5000 0.2384
Er3 0.5000 0.0000 0.2384
Er4 0.5000 0.5000 0.0000
Au1 0.2499 0.0132 0.6186
Au2 0.2501 0.5132 0.6186
Au3 0.7499 0.4868 0.6186
Au4 0.7501 0.9868 0.6186
S1 0.0000 0.0000 0.3992
S2 0.0000 0.5000 0.8380
S3 0.5000 0.0000 0.8380
S4 0.5000 0.5000 0.3992
O1 0.2500 0.2496 0.1193
O2 0.2500 0.7496 0.1193
O3 0.7500 0.2504 0.1193
O4 0.7500 0.7504 0.1193

Which one sits at the top of the stability order? model Q does.

Model P:
ErAuSO: relaxed, PBE.

abc: 5.4707 5.4711 9.0761
angles: 90.00 90.00 90.00
Element x y z (fractional)
Er1 0.2500 0.0000 0.1223
Er2 0.2500 0.5000 0.8782
Er3 0.7500 0.0000 0.8777
Er4 0.7500 0.5000 0.1218
Au1 0.0000 0.2502 0.5000
Au2 0.0000 0.7498 0.5000
Au3 0.5000 0.2502 0.5000
Au4 0.5000 0.7498 0.5000
S1 0.2500 0.0000 0.7173
S2 0.2500 0.5000 0.2810
S3 0.7500 0.0000 0.2827
S4 0.7500 0.5000 0.7190
O1 0.0000 0.2497 0.0000
O2 0.0000 0.7503 0.0000
O3 0.5000 0.2497 0.0000
O4 0.5000 0.7503 0.0000

Model Q:
ErAuSO: relaxed, PBE.

abc: 4.0763 6.3255 6.3065
angles: 90.00 90.00 90.00
Element x y z (fractional)
Er1 0.0000 0.1935 0.0000
Er2 0.0000 0.8065 0.5000
Au1 0.5000 0.2907 0.6242
Au2 0.5000 0.7093 0.1242
S1 0.5000 0.3469 0.2266
S2 0.5000 0.6531 0.7266
O1 0.0000 0.0773 0.6846
O2 0.0000 0.9227 0.1846

Model R:
ErAuSO: relaxed, PBE.

abc: 5.4621 5.4621 9.1280
angles: 90.00 90.00 90.00
Element x y z (fractional)
Er1 0.0000 0.0000 0.0000
Er2 0.0000 0.5000 0.2432
Er3 0.5000 0.0000 0.2432
Er4 0.5000 0.5000 0.0000
Au1 0.1815 0.3185 0.6147
Au2 0.3185 0.8185 0.6147
Au3 0.6815 0.1815 0.6147
Au4 0.8185 0.6815 0.6147
S1 0.0000 0.0000 0.4081
S2 0.0000 0.5000 0.8443
S3 0.5000 0.0000 0.8443
S4 0.5000 0.5000 0.4081
O1 0.2492 0.2508 0.1227
O2 0.2508 0.7508 0.1227
O3 0.7492 0.2492 0.1227
O4 0.7508 0.7492 0.1227

Model S:
ErAuSO: relaxed, PBE.

abc: 5.5467 9.2415 5.6673
angles: 90.00 90.00 90.00
Element x y z (fractional)
Er1 0.0139 0.1121 0.0000
Er2 0.4861 0.1121 0.5000
Er3 0.5139 0.8879 0.0000
Er4 0.9861 0.8879 0.5000
Au1 0.2183 0.6385 0.8396
Au2 0.2817 0.6385 0.3396
Au3 0.7183 0.3615 0.8396
Au4 0.7817 0.3615 0.3396
S1 0.0912 0.3367 0.6205
S2 0.4088 0.3367 0.1205
S3 0.5912 0.6633 0.6205
S4 0.9088 0.6633 0.1205
O1 0.2474 0.9938 0.2555
O2 0.2526 0.9938 0.7555
O3 0.7474 0.0062 0.2555
O4 0.7526 0.0062 0.7555

Which one sits at the top of the stability order? model S does.